(1)
Below is a PBEsol-optimized structure of La3MnO, with properties calculated at the meta-GGA SCAN level.

Cell lengths 4.9569, 4.9569, 4.9569 Å; angles 90.00, 90.00, 90.00 degrees
Last column: nearest neighbours and their distance in Å.
Fractional coordinates of all 5 atoms:
1 La 0.0000 0.0000 0.5000  2 O 2.48
2 O 0.0000 0.0000 0.0000  6 La 2.48
3 La 0.5000 0.0000 0.0000  2 O 2.48
4 Mn 0.5000 0.5000 0.5000  12 La 3.51
5 La 0.0000 0.5000 0.0000  2 O 2.48

Calculated values
The volume is 122 Å³ per cell. The uncorrected formation energy is -1.25 eV/atom.


(2)
Below is a PBEsol-optimized structure of La5MnRe3O16, with properties calculated at the meta-GGA SCAN level.

Cell lengths 5.6286, 5.6400, 10.0678 Å; angles 93.67, 93.40, 91.05 degrees
Last column: nearest neighbours and their distance in Å.
Fractional coordinates of all 25 atoms:
1 O 0.0703 0.0758 0.1840  1 Re 1.89
2 O 0.1788 0.2921 0.9647  1 Re 1.98, 1 Mn 2.14
3 La 0.0344 0.5084 0.2092  6 O 2.41-2.50
4 O 0.2158 0.6952 0.6348  1 Re 1.95
5 O 0.7022 0.2231 0.6366  1 Re 1.95
6 La 0.5133 0.0282 0.2036  7 O 2.38-2.59
7 Mn 0.5000 0.5000 0.0000  6 O 2.05-2.14
8 O 0.6988 0.1846 0.0015  1 Re 2.01, 1 Mn 2.12
9 Re 0.5543 0.5541 0.3931  6 O 1.95-2.06
10 La 0.4867 0.9718 0.7964  7 O 2.38-2.59
11 O 0.4571 0.4542 0.1971  1 Mn 2.05, 1 Re 2.06
12 La 0.0000 0.0000 0.5000  8 O 2.38-2.58
13 O 0.7842 0.3048 0.3652  1 Re 1.95
14 O 0.2231 0.2183 0.6774  1 Re 1.97
15 O 0.7769 0.7817 0.3226  1 Re 1.97
16 La 0.9656 0.4916 0.7908  6 O 2.41-2.50
17 Re 0.4457 0.4459 0.6069  6 O 1.95-2.06
18 O 0.8212 0.7079 0.0353  1 Re 1.98, 1 Mn 2.14
19 Re 0.0000 0.0000 0.0000  6 O 1.89-2.01
20 O 0.3012 0.8154 0.9985  1 Re 2.01, 1 Mn 2.12
21 O 0.3106 0.3043 0.4305  2 Re 2.00-2.02
22 O 0.5429 0.5458 0.8029  1 Mn 2.05, 1 Re 2.06
23 O 0.2978 0.7769 0.3634  1 Re 1.95
24 O 0.6894 0.6957 0.5695  2 Re 2.00-2.02
25 O 0.9297 0.9242 0.8160  1 Re 1.89

Calculated values
The volume is 318 Å³ per cell. The uncorrected formation energy is -2.82 eV/atom.


(3)
Below is a PBEsol-optimized structure of SrLaMnRuO6, with properties calculated at the meta-GGA SCAN level.

Cell lengths 5.4768, 5.4487, 7.7249 Å; angles 90.00, 90.14, 90.00 degrees
Last column: nearest neighbours and their distance in Å.
Fractional coordinates of all 20 atoms:
1 O 0.7288 0.0326 0.9679  1 Mn 1.92, 1 Ru 2.01
2 La 0.9942 0.7825 0.7502  6 O 2.40-2.62
3 O 0.7159 0.0230 0.5318  1 Mn 1.92, 1 Ru 2.01
4 O 0.4310 0.7460 0.7436  1 Mn 1.92, 1 Ru 2.01
5 O 0.7786 0.5413 0.5350  1 Mn 1.92, 1 Ru 2.01
6 O 0.2159 0.9770 0.0318  1 Mn 1.92, 1 Ru 2.01
7 Sr 0.0030 0.7245 0.2499  8 O 2.45-2.71
8 O 0.2786 0.4587 0.0350  1 Mn 1.92, 1 Ru 2.01
9 Mn 0.9997 0.2517 0.0000  6 O 1.91-1.92
10 O 0.5570 0.7602 0.2563  1 Mn 1.91, 1 Ru 2.01
11 Mn 0.4997 0.7483 0.5000  6 O 1.91-1.92
12 O 0.7920 0.5297 0.9654  1 Mn 1.91, 1 Ru 2.01
13 O 0.0570 0.2398 0.7563  1 Mn 1.91, 1 Ru 2.01
14 Sr 0.5030 0.2755 0.7499  8 O 2.45-2.71
15 O 0.9310 0.2540 0.2436  1 Mn 1.92, 1 Ru 2.01
16 Ru 0.4998 0.7479 0.9999  6 O 2.01
17 La 0.4942 0.2175 0.2502  6 O 2.40-2.62
18 O 0.2288 0.9674 0.4679  1 Mn 1.92, 1 Ru 2.01
19 Ru 0.9998 0.2521 0.4999  6 O 2.01
20 O 0.2920 0.4703 0.4654  1 Mn 1.91, 1 Ru 2.01

Calculated values
The volume is 231 Å³ per cell. The uncorrected formation energy is -2.56 eV/atom.


(4)
Below is a PBEsol-optimized structure of SrLaMnRuO6, with properties calculated at the meta-GGA SCAN level.

Cell lengths 5.3982, 5.3982, 5.3982 Å; angles 61.46, 61.46, 61.46 degrees
Last column: nearest neighbours and their distance in Å.
Fractional coordinates of all 10 atoms:
1 O 0.3207 0.1913 0.7417  1 Mn 1.92, 1 Ru 2.01
2 Mn 0.5000 0.5000 0.5000  6 O 1.91-1.92
3 Sr 0.2498 0.2498 0.2498  9 O 2.46-2.73
4 O 0.6892 0.7987 0.2594  1 Mn 1.91, 1 Ru 2.00
5 O 0.7987 0.2594 0.6892  1 Mn 1.91, 1 Ru 2.00
6 O 0.7417 0.3207 0.1913  1 Mn 1.92, 1 Ru 2.01
7 O 0.2594 0.6892 0.7987  1 Mn 1.91, 1 Ru 2.00
8 O 0.1913 0.7417 0.3207  1 Mn 1.92, 1 Ru 2.01
9 La 0.7495 0.7495 0.7495  3 O 2.40
10 Ru 0.9998 0.9998 0.9998  6 O 2.00-2.01

Calculated values
The volume is 115 Å³ per cell. The uncorrected formation energy is -2.56 eV/atom.


(5)
Below is a PBEsol-optimized structure of La2Mn3Sb3O14, with properties calculated at the meta-GGA SCAN level.

Cell lengths 7.2860, 7.2823, 7.2823 Å; angles 119.63, 119.37, 60.63 degrees
Last column: nearest neighbours and their distance in Å.
Fractional coordinates of all 22 atoms:
1 Sb 0.5000 0.5000 0.0000  6 O 1.95-2.02
2 O 0.5857 0.6703 0.3297  2 Sb 2.01
3 O 0.1701 0.6713 0.9242  2 Sb 2.01-2.02
4 O 0.1859 0.0690 0.9310  1 Mn 1.93, 1 Sb 1.98
5 O 0.5724 0.0808 0.3308  1 Sb 1.95, 1 Mn 2.02
6 O 0.1701 0.0758 0.3287  2 Sb 2.01-2.02
7 O 0.4143 0.3297 0.6703  2 Sb 2.01
8 O 0.8974 0.3535 0.6465  2 Mn 2.12, 1 La 2.35
9 La 0.5000 0.5000 0.5000  8 O 2.39-2.55
10 O 0.8299 0.3287 0.0758  2 Sb 2.01-2.02
11 O 0.5724 0.6692 0.9192  1 Sb 1.95, 1 Mn 2.02
12 O 0.8299 0.9242 0.6713  2 Sb 2.01-2.02
13 La 0.0000 0.5000 0.5000  8 O 2.35-2.57
14 Sb 0.0000 0.0000 0.0000  6 O 1.98-2.01
15 Mn 0.5000 0.0000 0.0000  6 O 1.93-2.02
16 Mn 0.0000 0.5000 0.0000  2 O 2.12
17 O 0.8141 0.9310 0.0690  1 Mn 1.93, 1 Sb 1.98
18 O 0.4276 0.9192 0.6692  1 Sb 1.95, 1 Mn 2.02
19 Mn 0.0000 0.0000 0.5000  2 O 2.12
20 O 0.4276 0.3308 0.0808  1 Sb 1.95, 1 Mn 2.02
21 Sb 0.5000 0.0000 0.5000  6 O 1.95-2.02
22 O 0.1026 0.6465 0.3535  2 Mn 2.12, 1 La 2.35

Calculated values
The volume is 277 Å³ per cell. The uncorrected formation energy is -2.26 eV/atom.


(6)
Below is a PBEsol-optimized structure of SrLaMnSbO6, with properties calculated at the meta-GGA SCAN level.

Cell lengths 5.6550, 5.7522, 8.0209 Å; angles 90.00, 90.06, 90.00 degrees
Last column: nearest neighbours and their distance in Å.
Fractional coordinates of all 20 atoms:
1 O 0.2086 0.9761 0.9550  1 Sb 2.02, 1 Mn 2.14
2 La 0.9879 0.7981 0.2520  6 O 2.40-2.67
3 Mn 0.4989 0.7454 0.0007  6 O 2.12-2.14
4 O 0.2872 0.4483 0.9538  1 Sb 2.01, 1 Mn 2.12
5 O 0.7872 0.5517 0.4538  1 Sb 2.01, 1 Mn 2.12
6 O 0.8075 0.5398 0.0475  1 Sb 2.01, 1 Mn 2.14
7 O 0.2221 0.9579 0.5392  1 Sb 2.01, 1 Mn 2.14
8 Sr 0.0076 0.7139 0.7506  6 O 2.48-2.77
9 Sb 0.4996 0.7470 0.5001  6 O 2.00-2.02
10 O 0.5737 0.7785 0.7434  1 Sb 2.00, 1 Mn 2.12
11 O 0.7221 0.0421 0.0392  1 Sb 2.01, 1 Mn 2.14
12 La 0.4879 0.2019 0.7520  6 O 2.40-2.67
13 Sb 0.9996 0.2530 0.0001  6 O 2.00-2.02
14 Mn 0.9989 0.2546 0.5007  6 O 2.12-2.14
15 O 0.9068 0.2720 0.7577  1 Sb 2.02, 1 Mn 2.13
16 O 0.0737 0.2215 0.2434  1 Sb 2.00, 1 Mn 2.12
17 Sr 0.5076 0.2861 0.2506  6 O 2.48-2.77
18 O 0.4068 0.7280 0.2577  1 Sb 2.02, 1 Mn 2.13
19 O 0.3075 0.4602 0.5475  1 Sb 2.01, 1 Mn 2.14
20 O 0.7086 0.0239 0.4550  1 Sb 2.02, 1 Mn 2.14

Calculated values
The volume is 261 Å³ per cell. The uncorrected formation energy is -2.68 eV/atom.


(7)
Below is a PBEsol-optimized structure of Sr3LaMn2O8, with properties calculated at the meta-GGA SCAN level.

Cell lengths 5.4204, 5.4182, 6.7071 Å; angles 90.00, 113.83, 90.00 degrees
Last column: nearest neighbours and their distance in Å.
Fractional coordinates of all 14 atoms:
1 O 0.7554 0.2544 0.0050  2 Mn 1.91-1.92
2 Mn 0.9980 0.0000 0.9961  6 O 1.90-1.98
3 O 0.7554 0.7456 0.0050  2 Mn 1.91-1.92
4 O 0.6581 0.5000 0.3162  1 Mn 1.96
5 Sr 0.6431 0.0000 0.2862  9 O 2.45-2.72
6 O 0.2496 0.2544 0.0050  2 Mn 1.91-1.92
7 O 0.2496 0.7456 0.0050  2 Mn 1.91-1.92
8 Sr 0.8565 0.5000 0.7129  9 O 2.43-2.72
9 Mn 0.4986 0.5000 0.9972  6 O 1.91-2.01
10 O 0.8431 0.0000 0.6861  1 Mn 1.90
11 Sr 0.3594 0.0000 0.7187  9 O 2.45-2.73
12 O 0.1594 0.0000 0.3188  1 Mn 1.98
13 O 0.3344 0.5000 0.6689  1 Mn 2.01
14 La 0.1394 0.5000 0.2787  5 O 2.39-2.53

Calculated values
The volume is 180 Å³ per cell. The uncorrected formation energy is -2.98 eV/atom.


(8)
Below is a PBEsol-optimized structure of Sr4LaMn5O13, with properties calculated at the meta-GGA SCAN level.

Cell lengths 3.7783, 8.6303, 8.6251 Å; angles 90.70, 90.00, 90.00 degrees
Last column: nearest neighbours and their distance in Å.
Fractional coordinates of all 23 atoms:
1 O 0.0000 0.2018 0.9131  2 Mn 1.90-1.94
2 O 0.0000 0.6900 0.4095  2 Mn 1.92-1.96
3 Mn 0.0000 0.6045 0.1986  5 O 1.91-1.96
4 Mn 0.0000 0.1977 0.3971  6 O 1.89-2.02
5 O 0.0000 0.0000 0.5000  2 Mn 1.93
6 Mn 0.0000 0.8023 0.6029  6 O 1.89-2.02
7 Mn 0.0000 0.0000 0.0000  4 O 1.86-1.90
8 O 0.0000 0.7982 0.0869  2 Mn 1.90-1.94
9 O 0.0000 0.5949 0.7079  2 Mn 1.91-2.02
10 O 0.5000 0.7911 0.5991  2 Mn 1.89
11 O 0.5000 0.2089 0.4009  2 Mn 1.89
12 O 0.5000 0.4130 0.8302  2 Mn 1.91
13 Sr 0.5000 0.8990 0.3094  11 O 2.64-2.94
14 Sr 0.5000 0.2915 0.1101  9 O 2.60-2.68
15 La 0.5000 0.5000 0.5000  10 O 2.63-2.72
16 O 0.0000 0.3100 0.5905  2 Mn 1.92-1.96
17 Mn 0.0000 0.3955 0.8014  5 O 1.91-1.96
18 Sr 0.5000 0.7085 0.8899  9 O 2.60-2.68
19 O 0.0000 0.4051 0.2921  2 Mn 1.91-2.02
20 O 0.5000 0.5870 0.1698  2 Mn 1.91
21 O 0.0000 0.9102 0.8022  2 Mn 1.86-1.95
22 Sr 0.5000 0.1010 0.6906  11 O 2.64-2.94
23 O 0.0000 0.0898 0.1978  2 Mn 1.86-1.95

Calculated values
The volume is 281 Å³ per cell. The uncorrected formation energy is -2.76 eV/atom.


(9)
Below is a PBEsol-optimized structure of SrLaMn2O6, with properties calculated at the meta-GGA SCAN level.

Cell lengths 5.3785, 5.4308, 5.3785 Å; angles 60.32, 90.00, 119.68 degrees
Last column: nearest neighbours and their distance in Å.
Fractional coordinates of all 10 atoms:
1 Mn 0.7500 0.5000 0.7500  6 O 1.92-1.94
2 O 0.0416 0.5125 0.9584  2 Mn 1.92
3 O 0.5000 0.0000 0.0000  2 Mn 1.94
4 O 0.0000 0.0000 0.5000  2 Mn 1.94
5 O 0.4709 0.5125 0.5291  2 Mn 1.92
6 La 0.5000 0.0000 0.5000  8 O 2.50-2.69
7 O 0.9584 0.4875 0.4709  2 Mn 1.92
8 Mn 0.2500 0.5000 0.2500  6 O 1.92-1.94
9 Sr 0.0000 0.0000 0.0000  12 O 2.57-2.88
10 O 0.5291 0.4875 0.0416  2 Mn 1.92

Calculated values
The volume is 112 Å³ per cell. The uncorrected formation energy is -2.92 eV/atom.


Question: What is the formula in the first record?
Answer: La3MnO


Question: Which value of volume does entry 9 give?
Answer: 112 Å³ per cell